DFT (PBE-GGA) results for crystalline LiReSb2 at its relaxed geometry.

## Properties
Formation energy without anion corrections   0.53 eV per atom
Calculated volume   486.2 Å³ per cell

a b c (Å): 6.515 6.515 11.455
angles (deg): 90.00 90.00 90.00
Space group I-42d (No. 122)
One atom of each set of equivalent atoms:
1 Li 0.000 0.000 0.000 [4 per cell]
2 Re 0.000 0.000 0.500 [4 per cell]
3 Sb 0.212 0.250 0.625 [8 per cell]